Entry 1
Mg2AlHgN | PBE-GGA | relaxed

Size of the total moment   0.0 μB/f.u.
DOS(E_F)   1.66 states/eV per cell

a b c (Å): 4.467 4.467 3.897
angles (deg): 90.00 90.00 90.00
Atoms (fractional coordinates):
Mg  0.000  0.500  0.000
Mg  0.500  0.000  0.000
Al  0.000  0.000  0.500
Hg  0.500  0.500  0.500
N  0.000  0.000  0.000



Entry 2
Mg2AlHgN | PBE-GGA | relaxed

Size of the total moment   2.2 μB/f.u.
DOS(E_F)   2.22 states/eV per cell

a b c (Å): 5.264 5.264 5.158
angles (deg): 90.00 90.00 90.00
Atoms (fractional coordinates):
Mg  0.000  0.500  0.000
Mg  0.500  0.000  0.000
Al  0.000  0.000  0.000
Hg  0.000  0.000  0.500
N  0.500  0.500  0.500



Which one sits at the top of the stability order? entry 1 does.



Entry 1
MgAlHgN2 | PBE-GGA | relaxed

Size of the total moment   2.2 μB/f.u.
DOS(E_F)   3.87 states/eV per cell

a b c (Å): 4.333 4.333 5.336
angles (deg): 90.00 90.00 90.00
Atoms (fractional coordinates):
Mg  0.000  0.000  0.000
Al  0.500  0.500  0.000
Hg  0.000  0.000  0.500
N  0.000  0.500  0.500
N  0.500  0.000  0.500



Entry 2
MgAlHgN2 | PBE-GGA | relaxed

Size of the total moment   0.0 μB/f.u.
DOS(E_F)   2.20 states/eV per cell

a b c (Å): 3.811 3.811 5.452
angles (deg): 90.00 90.00 90.00
Atoms (fractional coordinates):
Mg  0.000  0.000  0.000
Al  0.500  0.500  0.500
Hg  0.500  0.500  0.000
N  0.000  0.500  0.500
N  0.500  0.000  0.500



Which one sits at the top of the stability order? entry 2 does.



Entry 1
SrMgAlHg2 | PBE-GGA | relaxed

Size of the total moment   0.0 μB/f.u.
DOS(E_F)   3.72 states/eV per cell

a b c (Å): 5.332 5.332 5.262
angles (deg): 90.00 90.00 90.00
Atoms (fractional coordinates):
Sr  0.000  0.000  0.000
Mg  0.500  0.500  0.500
Al  0.500  0.500  0.000
Hg  0.000  0.500  0.500
Hg  0.500  0.000  0.500



Entry 2
SrMgAlHg2 | PBE-GGA | relaxed

Size of the total moment   0.0 μB/f.u.
DOS(E_F)   3.02 states/eV per cell

a b c (Å): 6.986 6.986 6.986
angles (deg): 142.13 142.13 54.63
Atoms (fractional coordinates):
Sr  0.000  0.000  0.000
Mg  0.250  0.750  0.500
Al  0.750  0.250  0.500
Hg  0.382  0.382  0.000
Hg  0.618  0.618  0.000



Which one sits at the top of the stability order? entry 2 does.



Entry 1
MnAlHg | PBE-GGA | relaxed

Size of the total moment   3.2 μB/f.u.
DOS(E_F)   1.60 states/eV per cell

a b c (Å): 6.235 6.235 6.235
angles (deg): 152.64 152.64 39.08
Atoms (fractional coordinates):
Mn  0.000  0.000  0.000
Al  0.634  0.634  0.000
Hg  0.324  0.324  0.000



Entry 2
MnAlHg | PBE-GGA | relaxed

Size of the total moment   3.2 μB/f.u.
DOS(E_F)   2.34 states/eV per cell

a b c (Å): 3.003 3.003 6.751
angles (deg): 90.00 90.00 120.00
Atoms (fractional coordinates):
Mn  0.000  0.000  0.000
Al  0.667  0.333  0.291
Hg  0.333  0.667  0.660



Entry 3
MnAlHg | PBE-GGA | relaxed

Size of the total moment   4.0 μB/f.u.
DOS(E_F)   1.45 states/eV per cell

a b c (Å): 4.426 4.426 4.426
angles (deg): 60.00 60.00 60.00
Atoms (fractional coordinates):
Mn  0.000  0.000  0.000
Al  0.500  0.500  0.500
Hg  0.250  0.250  0.250



Which one sits at the top of the stability order? entry 1 does.